Density functional theory data (PBE-GGA) for a relaxed structure of PmDyGa2.

POSCAR file:
```
PmDyGa2
1.0
3.622 0.000 0.000
0.000 3.622 0.000
0.000 0.000 7.221
Pm Dy Ga
1 1 2
direct
0.000 0.000 0.000
0.000 0.000 0.500
0.500 0.500 0.262
0.500 0.500 0.738
```

## Properties
For the total energy, the calculation gives -0.3259 Ry/atom. Its formation energy is -2.3 eV/f.u.